(1)
Ba2ErCu3O7: single point on PBEsol structure, meta-GGA SCAN.

The space group is Pmmm (No. 47) and the conventional cell measures 3.786, 3.857 and 11.493 Å, with angles of 90.00, 90.00 and 90.00 degrees. The inequivalent atoms are Ba at (0.000, 0.000, 0.182), Er at (0.000, 0.000, 0.500), Cu at (0.500, 0.500, 0.000), Cu at (0.500, 0.500, 0.354), O at (0.000, 0.500, 0.380), O at (0.500, 0.000, 0.000), O at (0.500, 0.000, 0.379) and O at (0.500, 0.500, 0.162).

For the uncorrected formation energy, the calculation gives -2.068 eV/atom. The calculated density is 7.366 g cm⁻³.

***

(2)
BaEr2CuO5: single point on PBEsol structure, meta-GGA SCAN.

The space group is Pnma (No. 62) and the conventional cell measures 12.010, 5.589 and 7.036 Å, with angles of 90.00, 90.00 and 90.00 degrees. The inequivalent atoms are Ba at (0.096, 0.250, 0.070), Er at (0.075, 0.750, 0.398), Er at (0.212, 0.250, 0.615), Cu at (0.160, 0.750, 0.785), O at (0.067, 0.505, 0.663), O at (0.101, 0.750, 0.084) and O at (0.227, 0.003, 0.358).

For the uncorrected formation energy, the calculation gives -3.059 eV/atom. The calculated density is 8.655 g cm⁻³.

***

(3)
Ba2Er2CuPtO8: single point on PBEsol structure, meta-GGA SCAN.

The space group is Pnma (No. 62) and the conventional cell measures 13.074, 5.627 and 10.239 Å, with angles of 90.00, 90.00 and 90.00 degrees. The inequivalent atoms are Ba at (0.077, 0.250, 0.092), Ba at (0.207, 0.750, 0.313), Er at (0.083, 0.250, 0.486), Er at (0.142, 0.750, 0.686), Cu at (0.040, 0.250, 0.766), Pt at (0.194, 0.750, 0.966), O at (0.007, 0.006, 0.635), O at (0.087, 0.750, 0.107), O at (0.114, 0.508, 0.859), O at (0.203, 0.250, 0.313) and O at (0.217, 0.009, 0.556).

For the uncorrected formation energy, the calculation gives -2.612 eV/atom. The calculated density is 8.780 g cm⁻³.

***

(4)
Ba3Er2Cu2PtO10: single point on PBEsol structure, meta-GGA SCAN.

The space group is C2/m (No. 12) and the conventional cell measures 12.374, 5.766 and 7.352 Å, with angles of 90.00, 105.96 and 90.00 degrees. The inequivalent atoms are Ba at (0.000, 0.000, 0.000), Ba at (0.154, 0.000, 0.544), Er at (0.189, 0.500, 0.875), Cu at (0.088, 0.500, 0.197), Pt at (0.000, 0.500, 0.500), O at (0.019, 0.280, 0.721), O at (0.168, 0.500, 0.552) and O at (0.185, 0.271, 0.126).

For the uncorrected formation energy, the calculation gives -2.447 eV/atom. The calculated density is 8.091 g cm⁻³.

***

no.,uncorrected energy (eV per atom),total magnetization (μB/f.u.)
1,-18.888,0.00
2,-23.791,1.00
3,-25.114,1.06
4,-23.682,1.99